{
  "formula": "DyY2Ga2",
  "functional": "PBE-GGA",
  "state": "optimized geometry",
  "magmom_total_mub_per_cell": 0.00,
  "ef_ev_per_atom": -0.540,
  "spacegroup": "P4/mbm, No. 127",
  "final_energy_ev_per_atom": -5.26,
  "lattice": [[7.672, 0.000, 0.000], [0.000, 7.672, 0.000], [0.000, 0.000, 4.323]],
  "species": ["Dy", "Dy", "Y", "Y", "Y", "Y", "Ga", "Ga", "Ga", "Ga"],
  "frac_coords": [[0.000, 0.000, 0.000], [0.500, 0.500, 0.000], [0.175, 0.325, 0.500], [0.325, 0.825, 0.500], [0.675, 0.175, 0.500], [0.825, 0.675, 0.500], [0.120, 0.620, 0.000], [0.380, 0.120, 0.000], [0.620, 0.880, 0.000], [0.880, 0.380, 0.000]]
}


{
  "formula": "TmThHg",
  "functional": "PBE-GGA",
  "state": "optimized geometry",
  "magmom_total_mub_per_cell": 0.00,
  "ef_ev_per_atom": -0.053,
  "spacegroup": "P-6m2, No. 187",
  "final_energy_ev_per_atom": -4.12,
  "lattice": [[5.189, 0.000, 0.000], [-2.594, 4.494, 0.000], [0.000, 0.000, 3.716]],
  "species": ["Tm", "Th", "Hg"],
  "frac_coords": [[0.000, 0.000, 0.000], [0.667, 0.333, 0.500], [0.333, 0.667, 0.000]]
}


{
  "formula": "V2NiPd8",
  "functional": "PBE-GGA",
  "state": "optimized geometry",
  "magmom_total_mub_per_cell": 0.48,
  "ef_ev_per_atom": -0.115,
  "spacegroup": "Immm, No. 71",
  "final_energy_ev_per_atom": -6.07,
  "lattice": [[-2.061, 3.628, 5.529], [2.061, -3.628, 5.529], [2.061, 3.628, -5.529]],
  "species": ["V", "V", "Ni", "Pd", "Pd", "Pd", "Pd", "Pd", "Pd", "Pd", "Pd"],
  "frac_coords": [[0.200, 0.200, 0.000], [0.800, 0.800, 0.000], [0.500, 0.500, 0.000], [0.062, 0.342, 0.720], [0.186, 0.000, 0.186], [0.356, 0.856, 0.500], [0.378, 0.658, 0.720], [0.622, 0.342, 0.280], [0.644, 0.144, 0.500], [0.814, 0.000, 0.814], [0.938, 0.658, 0.280]]
}


{
  "formula": "TbScAs",
  "functional": "PBE-GGA",
  "state": "optimized geometry",
  "magmom_total_mub_per_cell": 0.13,
  "ef_ev_per_atom": -0.811,
  "spacegroup": "C2/m, No. 12",
  "final_energy_ev_per_atom": -6.01,
  "lattice": [[7.406, -1.985, 0.000], [7.406, 1.985, 0.000], [-0.051, 0.000, 10.045]],
  "species": ["Tb", "Tb", "Tb", "Tb", "Sc", "Sc", "Sc", "Sc", "As", "As", "As", "As"],
  "frac_coords": [[0.046, 0.046, 0.363], [0.409, 0.409, 0.139], [0.591, 0.591, 0.861], [0.954, 0.954, 0.637], [0.192, 0.192, 0.085], [0.239, 0.239, 0.654], [0.761, 0.761, 0.346], [0.808, 0.808, 0.915], [0.378, 0.378, 0.438], [0.402, 0.402, 0.821], [0.598, 0.598, 0.179], [0.622, 0.622, 0.562]]
}


Copy entry 2 word for word.
{
  "formula": "TmThHg",
  "functional": "PBE-GGA",
  "state": "optimized geometry",
  "magmom_total_mub_per_cell": 0.00,
  "ef_ev_per_atom": -0.053,
  "spacegroup": "P-6m2, No. 187",
  "final_energy_ev_per_atom": -4.12,
  "lattice": [[5.189, 0.000, 0.000], [-2.594, 4.494, 0.000], [0.000, 0.000, 3.716]],
  "species": ["Tm", "Th", "Hg"],
  "frac_coords": [[0.000, 0.000, 0.000], [0.667, 0.333, 0.500], [0.333, 0.667, 0.000]]
}


Please write out number 3 again, unchanged.
{
  "formula": "V2NiPd8",
  "functional": "PBE-GGA",
  "state": "optimized geometry",
  "magmom_total_mub_per_cell": 0.48,
  "ef_ev_per_atom": -0.115,
  "spacegroup": "Immm, No. 71",
  "final_energy_ev_per_atom": -6.07,
  "lattice": [[-2.061, 3.628, 5.529], [2.061, -3.628, 5.529], [2.061, 3.628, -5.529]],
  "species": ["V", "V", "Ni", "Pd", "Pd", "Pd", "Pd", "Pd", "Pd", "Pd", "Pd"],
  "frac_coords": [[0.200, 0.200, 0.000], [0.800, 0.800, 0.000], [0.500, 0.500, 0.000], [0.062, 0.342, 0.720], [0.186, 0.000, 0.186], [0.356, 0.856, 0.500], [0.378, 0.658, 0.720], [0.622, 0.342, 0.280], [0.644, 0.144, 0.500], [0.814, 0.000, 0.814], [0.938, 0.658, 0.280]]
}